Entry 1:
Material: ScAlAg2Te4
Method: DFT, PBE
State: relaxed

Calculated values
The calculation puts the energy relative to the elements, uncorrected at -388 kJ/mol of formula units.

a b c (Å): 6.4325 6.4325 12.7498
angles (deg): 90.00 90.00 90.00
Closest atoms and distances in Å follow each position.
Space group I-4 (No. 82)
Inequivalent atoms, fractional coordinates:
Sc (0.0000, 0.0000, 0.0000) (multiplicity 2)  4 Te 2.81
Al (0.0000, 0.5000, 0.7500) (multiplicity 2)  4 Te 2.65
Ag (0.0000, 0.0000, 0.5000) (multiplicity 2)  4 Te 2.82
Ag (0.0000, 0.5000, 0.2500) (multiplicity 2)  4 Te 2.83
Te (0.2372, 0.7385, 0.8702) (multiplicity 8)  1 Al 2.65, 1 Sc 2.81, 2 Ag 2.82-2.83


Entry 2:
Material: Sn2SbOs
Method: DFT, PBE
State: relaxed

Calculated values
For the density of states at the Fermi level, the calculation gives 6.4 states/eV/cell. The calculation puts the energy relative to the elements, uncorrected at 255 kJ/mol of formula units. The calculation puts the distance to the lowest polymorph of the same formula at 13 meV/atom.

a b c (Å): 7.0106 7.0106 7.0106
angles (deg): 90.00 90.00 90.00
Closest atoms and distances in Å follow each position.
Space group Fm-3m (No. 225)
Inequivalent atoms, fractional coordinates:
Sn (0.2500, 0.2500, 0.2500) (multiplicity 8)  4 Os 3.04, 4 Sb 3.04
Sb (0.0000, 0.0000, 0.0000) (multiplicity 4)  8 Sn 3.04
Os (0.0000, 0.0000, 0.5000) (multiplicity 4)  8 Sn 3.04


Entry 3:
Material: Na3CePr2S6
Method: DFT, PBE
State: relaxed

Calculated values
For the density of states at the Fermi level, the calculation gives 9.5 states/eV/cell. The calculation puts the energy relative to the elements, uncorrected at -2043 kJ/mol of formula units.

a b c (Å): 7.2003 12.4724 7.1030
angles (deg): 90.00 109.75 90.00
Closest atoms and distances in Å follow each position.
Space group C2/m (No. 12)
Inequivalent atoms, fractional coordinates:
Na (0.0000, 0.0000, 0.0000) (multiplicity 2)  6 S 2.98-3.00
Na (0.0000, 0.3332, 0.0000) (multiplicity 4)  6 S 2.98-3.00
Ce (0.0000, 0.5000, 0.5000) (multiplicity 2)  6 S 2.85
Pr (0.0000, 0.1666, 0.5000) (multiplicity 4)  6 S 2.87
S (0.2434, 0.3347, 0.7343) (multiplicity 8)  1 Ce 2.85, 2 Pr 2.87, 3 Na 2.98-3.00
S (0.2473, 0.0000, 0.7337) (multiplicity 4)  1 Ce 2.85, 2 Pr 2.87, 3 Na 2.98-3.00


These records have electronic total energy values of -4.046; -5.178; -5.449 eV per atom, in the order they appear.